A geometry-optimized SrMn3C4O12 structure. Source: Alexandria, functional PBE with a Hubbard U.

The structure belongs to space group R32 (No. 155, hexagonal axes); the cell edges are 9.9202, 9.9202 and 8.3375 Å and the angles 90.00°, 90.00° and 120.00°. The inequivalent atoms are Sr at (0.0000, 0.0000, 0.0000), Mn at (0.0000, 0.5383, 0.0000), C at (0.0000, 0.0000, 0.5000), C at (0.0000, 0.4587, 0.5000), O at (0.0000, 0.5906, 0.5000), O at (0.0000, 0.8689, 0.5000) and O at (0.0031, 0.2058, 0.1827).

The total energy is -466.83 eV for the cell shown.

---

A geometry-optimized MnTlC2O6 structure. Source: Alexandria, functional PBE with a Hubbard U.

The structure belongs to space group C2/c (No. 15); the cell edges are 8.5886, 9.6981 and 6.6839 Å and the angles 90.00°, 108.12° and 90.00°. The inequivalent atoms are Mn at (0.0000, 0.1564, 0.2500), Tl at (0.0000, 0.3989, 0.7500), C at (0.2065, 0.1112, 0.6990), O at (0.0937, 0.1786, 0.5530), O at (0.1593, 0.3267, 0.2023) and O at (0.1837, 0.0134, 0.2506).

The total energy is -285.12 eV for the cell shown.

---

A geometry-optimized Mn3TlC4O12 structure. Source: Alexandria, functional PBE with a Hubbard U.

The structure belongs to space group R32 (No. 155, hexagonal axes); the cell edges are 9.9376, 9.9376 and 8.3055 Å and the angles 90.00°, 90.00° and 120.00°. The inequivalent atoms are Mn at (0.0000, 0.5390, 0.0000), Tl at (0.0000, 0.0000, 0.0000), C at (0.0000, 0.0000, 0.5000), C at (0.0000, 0.4603, 0.5000), O at (0.0000, 0.5909, 0.5000), O at (0.0000, 0.8690, 0.5000) and O at (0.0031, 0.2073, 0.1848).

The total energy is -450.48 eV for the cell shown.

---

A geometry-optimized YMnC2O structure. Source: Alexandria, functional PBE with a Hubbard U.

The structure belongs to space group P4/mmm (No. 123); the cell edges are 3.6262, 3.6262 and 4.2999 Å and the angles 90.00°, 90.00° and 90.00°. The inequivalent atoms are Y at (0.0000, 0.0000, 0.0000), Mn at (0.5000, 0.5000, 0.5000), C at (0.0000, 0.5000, 0.5000) and O at (0.5000, 0.5000, 0.0000).

The total energy is -35.59 eV for the cell shown.

---

| no. | spin magnetization (μB per atom) |
| --- | --- |
| 1 | 0.750 |
| 2 | 0.400 |
| 3 | 0.709 |
| 4 | 0.000 |